{"formula": "TlPbSeCl6", "functional": "PBE", "state": "relaxed", "lattice": [[3.7355, -6.1840, 0.0000], [3.7355, 6.1840, 0.0000], [-0.4591, 0.0000, 6.9774]], "species": ["Tl", "Pb", "Se", "Cl", "Cl", "Cl", "Cl", "Cl", "Cl"], "fractional_positions": [[0.0000, 0.0000, 0.0000], [0.3032, 0.6968, 0.5000], [0.6550, 0.3450, 0.5000], [0.3381, 0.0059, 0.7565], [0.3818, 0.3443, 0.2940], [0.6367, 0.0500, 0.3063], [0.6557, 0.6182, 0.7060], [0.9500, 0.3633, 0.6937], [0.9941, 0.6619, 0.2435]], "n_ef_per_ev_fu": 0.19, "magnetic_moment_mub_per_atom": 0.113, "e_form_raw_mev_per_atom": -686, "density_g_cm3": 3.623, "final_energy_ev_per_atom": -2.98, "space_group": "No. 5"}

---

{"formula": "Si2PbCl", "functional": "PBE", "state": "relaxed", "lattice": [[3.7557, 0.0000, 0.0000], [0.0000, 6.0395, 0.0000], [-0.3829, 0.0000, 4.7059]], "species": ["Si", "Si", "Pb", "Cl"], "fractional_positions": [[0.2371, 0.0000, 0.3571], [0.7629, 0.0000, 0.6429], [0.0000, 0.5000, 0.5000], [0.5000, 0.5000, 0.0000]], "n_ef_per_ev_fu": 1.35, "magnetic_moment_mub_per_atom": 0.000, "e_form_raw_mev_per_atom": 210, "density_g_cm3": 4.649, "e_above_lowest_polymorph_ev_per_atom": 0.289, "final_energy_ev_per_atom": -3.89, "space_group": "No. 10"}

---

{"formula": "SiPb2Cl", "functional": "PBE", "state": "relaxed", "lattice": [[3.4130, 0.0000, 0.0000], [-1.7065, 2.9558, 0.0000], [0.0000, 0.0000, 31.8316]], "species": ["Si", "Si", "Si", "Pb", "Pb", "Pb", "Pb", "Pb", "Pb", "Cl", "Cl", "Cl"], "fractional_positions": [[0.0000, 0.0000, 0.0000], [0.3333, 0.6667, 0.6667], [0.6667, 0.3333, 0.3333], [0.0000, 0.0000, 0.5122], [0.0000, 0.0000, 0.7484], [0.3333, 0.6667, 0.1789], [0.3333, 0.6667, 0.4150], [0.6667, 0.3333, 0.0817], [0.6667, 0.3333, 0.8455], [0.0000, 0.0000, 0.2769], [0.3333, 0.6667, 0.9435], [0.6667, 0.3333, 0.6102]], "n_ef_per_ev_fu": 2.24, "magnetic_moment_mub_per_atom": 0.000, "e_form_raw_mev_per_atom": 129, "density_g_cm3": 7.414, "e_above_lowest_polymorph_ev_per_atom": 0.264, "final_energy_ev_per_atom": -3.54, "space_group": "No. 160"}

---

- Which formula does entry 2 have?
  Si2PbCl

---

- What is the formula in the third record?
  SiPb2Cl

---

What did the second record say?
{"formula": "Si2PbCl", "functional": "PBE", "state": "relaxed", "lattice": [[3.7557, 0.0000, 0.0000], [0.0000, 6.0395, 0.0000], [-0.3829, 0.0000, 4.7059]], "species": ["Si", "Si", "Pb", "Cl"], "fractional_positions": [[0.2371, 0.0000, 0.3571], [0.7629, 0.0000, 0.6429], [0.0000, 0.5000, 0.5000], [0.5000, 0.5000, 0.0000]], "n_ef_per_ev_fu": 1.35, "magnetic_moment_mub_per_atom": 0.000, "e_form_raw_mev_per_atom": 210, "density_g_cm3": 4.649, "e_above_lowest_polymorph_ev_per_atom": 0.289, "final_energy_ev_per_atom": -3.89, "space_group": "No. 10"}